Computed, not measured: K2MoSeO6 after structural relaxation at the PBE+U level of DFT.

Values from the calculation:
* offset from the most stable computed form: 0.000 eV per formula unit
* symmetry: P2_1/c, No. 14
* mass density: 3.30 g/cm³

The structure in POSCAR format:
```
K2MoSeO6
1.0
6.310 0.000 0.000
0.000 15.496 0.000
-3.029 0.000 7.182
K Mo Se O
8 4 4 24
direct
0.107 0.051 0.311 K
0.107 0.449 0.811 K
0.351 0.697 0.107 K
0.351 0.803 0.607 K
0.649 0.197 0.393 K
0.649 0.303 0.893 K
0.893 0.551 0.189 K
0.893 0.949 0.689 K
0.466 0.063 0.819 Mo
0.466 0.437 0.319 Mo
0.534 0.563 0.681 Mo
0.534 0.937 0.181 Mo
0.111 0.176 0.880 Se
0.111 0.324 0.380 Se
0.889 0.676 0.620 Se
0.889 0.824 0.120 Se
0.057 0.226 0.279 O
0.057 0.274 0.779 O
0.114 0.107 0.698 O
0.114 0.393 0.198 O
0.291 0.517 0.489 O
0.291 0.983 0.989 O
0.374 0.521 0.152 O
0.374 0.979 0.652 O
0.400 0.636 0.783 O
0.400 0.864 0.283 O
0.413 0.167 0.992 O
0.413 0.333 0.492 O
0.587 0.667 0.508 O
0.587 0.833 0.008 O
0.600 0.136 0.717 O
0.600 0.364 0.217 O
0.626 0.021 0.348 O
0.626 0.479 0.848 O
0.709 0.017 0.011 O
0.709 0.483 0.511 O
0.886 0.607 0.802 O
0.886 0.893 0.302 O
0.943 0.726 0.221 O
0.943 0.774 0.721 O
```